# 1
Density functional theory data (PBE) for crystalline AcEuDy at its relaxed geometry.

Unit cell a=3.816 b=3.816 c=9.254 alpha=90.00 beta=90.00 gamma=120.00
Positions (direct):
Ac  0.000  0.000  0.000
Eu  0.333  0.667  0.643
Dy  0.667  0.333  0.319

## Properties
theoretical density	7702	kg/m³

# 2
Density functional theory data (PBE) for crystalline LaP2W at its relaxed geometry.

Unit cell a=4.679 b=4.679 c=4.679 alpha=60.00 beta=60.00 gamma=60.00
Positions (direct):
La  0.000  0.000  0.000
P  0.250  0.250  0.250
P  0.750  0.750  0.750
W  0.500  0.500  0.500

## Properties
theoretical density	8819	kg/m³

# 3
Density functional theory data (PBE) for crystalline DyTh2UC4 at its relaxed geometry.

Unit cell a=6.282 b=3.682 c=6.360 alpha=90.00 beta=109.32 gamma=90.00
Positions (direct):
Dy  0.000  0.000  0.000
Th  0.000  0.500  0.500
Th  0.500  0.000  0.500
U  0.500  0.500  0.000
C  0.269  0.500  0.231
C  0.276  0.000  0.778
C  0.724  0.000  0.222
C  0.731  0.500  0.769

## Properties
theoretical density	10917	kg/m³

| no. | size of the total moment (μB per formula unit) | formation energy from the elements (eV per formula unit) |
| --- | --- | --- |
| 1 | 7.5 | 0.2 |
| 2 | 0.0 | -1.0 |
| 3 | 0.0 | -1.8 |